(1)
DFT (PBE-GGA) results for crystalline BaCr2Si2 at its relaxed geometry.

Cell lengths 4.6470, 4.6470, 5.5481 Å; angles 65.24, 65.24, 90.00 degrees
With the nearest neighbours (Å) after each atom.
Positions (direct):
Ba 0.0000 0.0000 0.0000  8 Si 3.22, 10 Cr 3.42-3.53
Si 0.2500 0.7500 0.5000  4 Cr 2.66
Si 0.7500 0.2500 0.5000  4 Cr 2.66
Cr 0.3945 0.3945 0.2110  1 Cr 1.89
Cr 0.6055 0.6055 0.7890  1 Cr 1.89

Values from the calculation:
- D(E_F): 6.04 states/eV/cell
- Raw total energy: -30.5 eV per cell
- Total magnetization: 0.000 μB/f.u.
- Space group: No. 139
- Calculated volume: 19.3 Å³ per atom

=====

(2)
DFT (PBE-GGA) results for crystalline BaCrSi3 at its relaxed geometry.

Cell lengths 5.5643, 5.5643, 5.5643 Å; angles 90.00, 90.00, 90.00 degrees
With the nearest neighbours (Å) after each atom.
Positions (direct):
Si 0.0000 0.5000 0.0000  2 Ba 2.78
Si 0.5000 0.0000 0.0000  2 Ba 2.78
Si 0.0000 0.0000 0.5000  2 Ba 2.78
Ba 0.0000 0.0000 0.0000  6 Si 2.78
Cr 0.5000 0.5000 0.5000  12 Si 3.93

Values from the calculation:
- D(E_F): 5.03 states/eV/cell
- Total magnetization: 4.247 μB/f.u.
- Space group: No. 221
- Calculated volume: 34.5 Å³ per atom
- Excess energy over the best structure of this formula in the dataset: 2139 meV per atom

=====

(3)
DFT (PBE-GGA) results for crystalline BaCr2Si at its relaxed geometry.

Cell lengths 4.6113, 4.6113, 4.3588 Å; angles 90.00, 90.00, 90.00 degrees
With the nearest neighbours (Å) after each atom.
Positions (direct):
Cr 0.0000 0.0000 0.0000  4 Si 3.17, 4 Ba 3.17, 4 Cr 3.26
Ba 0.0000 0.5000 0.5000  8 Cr 3.17, 4 Si 3.26
Si 0.5000 0.0000 0.5000  8 Cr 3.17, 4 Ba 3.26
Cr 0.5000 0.5000 0.0000  4 Ba 3.17, 4 Si 3.17, 4 Cr 3.26

Values from the calculation:
- D(E_F): 2.17 states/eV/cell
- Raw total energy: -23.0 eV per cell
- Total magnetization: 7.802 μB/f.u.
- Space group: No. 123
- Calculated volume: 23.2 Å³ per atom

=====

(4)
DFT (PBE-GGA) results for crystalline BaCr2Si at its relaxed geometry.

Cell lengths 5.9055, 5.9055, 3.2177 Å; angles 75.12, 75.12, 113.30 degrees
With the nearest neighbours (Å) after each atom.
Positions (direct):
Cr 0.5000 0.5000 0.0000  2 Si 2.98, 2 Ba 2.98, 4 Cr 3.22-3.25
Cr 0.0000 0.0000 0.0000  2 Ba 2.98, 2 Si 2.98, 4 Cr 3.22-3.25
Si 0.5000 0.0000 0.5000  4 Cr 2.98, 2 Si 3.22, 2 Ba 3.25
Ba 0.0000 0.5000 0.5000  4 Cr 2.98, 2 Ba 3.22, 2 Si 3.25

Values from the calculation:
- D(E_F): 3.50 states/eV/cell
- Raw total energy: -22.4 eV per cell
- Total magnetization: 7.845 μB/f.u.
- Space group: No. 12
- Calculated volume: 22.8 Å³ per atom

=====

(5)
DFT (PBE-GGA) results for crystalline BaCr2Si at its relaxed geometry.

Cell lengths 6.4769, 6.4769, 6.4769 Å; angles 39.00, 39.00, 39.00 degrees
With the nearest neighbours (Å) after each atom.
Positions (direct):
Cr 0.9296 0.9296 0.9296  3 Cr 2.50, 3 Si 2.54
Ba 0.7487 0.7487 0.7487  1 Si 3.22, 1 Cr 3.24
Cr 0.2528 0.2528 0.2528  3 Cr 2.50, 3 Si 2.52
Si 0.5689 0.5689 0.5689  6 Cr 2.52-2.54

Values from the calculation:
- D(E_F): 2.72 states/eV/cell
- Raw total energy: -26.3 eV per cell
- Total magnetization: 0.005 μB/f.u.
- Space group: No. 160
- Calculated volume: 24.2 Å³ per atom

=====

(6)
DFT (PBE-GGA) results for crystalline BaCr2Si at its relaxed geometry.

Cell lengths 5.7366, 5.7366, 5.7366 Å; angles 141.58, 119.08, 74.37 degrees
With the nearest neighbours (Å) after each atom.
Positions (direct):
Si 0.7500 0.2500 0.5000  4 Cr 2.48
Cr 0.5733 0.5733 0.0000  2 Si 2.48
Cr 0.9267 0.9267 0.0000  2 Si 2.48
Ba 0.2500 0.7500 0.5000  8 Cr 3.33-3.51, 4 Si 3.47

Values from the calculation:
- D(E_F): 2.62 states/eV/cell
- Raw total energy: -23.9 eV per cell
- Total magnetization: 7.877 μB/f.u.
- Space group: No. 71
- Calculated volume: 25.1 Å³ per atom

=====

(7)
DFT (PBE-GGA) results for crystalline BaCr4Si at its relaxed geometry.

Cell lengths 5.1097, 5.1097, 5.1097 Å; angles 60.00, 60.00, 60.00 degrees
With the nearest neighbours (Å) after each atom.
Positions (direct):
Ba 0.0000 0.0000 0.0000  12 Cr 3.00, 4 Si 3.13
Cr 0.3765 0.3765 0.3765  6 Cr 2.52-2.59
Si 0.7500 0.7500 0.7500  12 Cr 2.99, 4 Ba 3.13
Cr 0.3765 0.8704 0.3765  6 Cr 2.52-2.59
Cr 0.8704 0.3765 0.3765  6 Cr 2.52-2.59
Cr 0.3765 0.3765 0.8704  6 Cr 2.52-2.59

Values from the calculation:
- D(E_F): 8.88 states/eV/cell
- Raw total energy: -40.0 eV per cell
- Total magnetization: 0.020 μB/f.u.
- Space group: No. 216
- Calculated volume: 15.7 Å³ per atom

=====

(8)
DFT (PBE-GGA) results for crystalline BaCr2Si at its relaxed geometry.

Cell lengths 5.1767, 5.1767, 5.1767 Å; angles 60.00, 60.00, 60.00 degrees
With the nearest neighbours (Å) after each atom.
Positions (direct):
Ba 0.5000 0.5000 0.5000  4 Cr 3.17, 4 Si 3.17
Si 0.7500 0.7500 0.7500  4 Ba 3.17, 4 Cr 3.17
Cr 0.2500 0.2500 0.2500  4 Ba 3.17, 4 Cr 3.17
Cr 0.0000 0.0000 0.0000  4 Cr 3.17, 4 Si 3.17

Values from the calculation:
- D(E_F): 2.97 states/eV/cell
- Raw total energy: -23.1 eV per cell
- Total magnetization: 9.022 μB/f.u.
- Space group: No. 216
- Calculated volume: 24.5 Å³ per atom

=====

(9)
DFT (PBE-GGA) results for crystalline BaCr2Si at its relaxed geometry.

Cell lengths 8.0269, 8.0269, 8.0269 Å; angles 155.76, 152.60, 36.90 degrees
With the nearest neighbours (Å) after each atom.
Positions (direct):
Cr 0.0069 0.0069 0.0000  4 Si 2.55
Si 0.5231 0.5231 0.0000  6 Cr 2.55-2.58
Cr 0.6511 0.1511 0.5000  2 Si 2.58
Ba 0.3189 0.8189 0.5000  2 Ba 3.37, 6 Cr 3.44-3.60, 2 Si 3.54

Values from the calculation:
- D(E_F): 3.29 states/eV/cell
- Raw total energy: -24.1 eV per cell
- Total magnetization: 7.593 μB/f.u.
- Space group: No. 44
- Calculated volume: 24.4 Å³ per atom

=====

(10)
DFT (PBE-GGA) results for crystalline BaCr2Si at its relaxed geometry.

Cell lengths 3.3108, 3.3109, 7.0203 Å; angles 90.00, 90.00, 90.00 degrees
With the nearest neighbours (Å) after each atom.
Positions (direct):
Cr 0.0000 0.0000 0.1094  1 Cr 1.97
Si 0.5000 0.5000 0.2500  8 Cr 2.54
Cr 0.0000 0.0000 0.3906  1 Cr 1.97
Ba 0.5000 0.5000 0.7500  4 Ba 3.31, 8 Cr 3.44, 2 Si 3.51

Values from the calculation:
- D(E_F): 3.43 states/eV/cell
- Raw total energy: -24.9 eV per cell
- Total magnetization: 0.656 μB/f.u.
- Space group: No. 123
- Calculated volume: 19.2 Å³ per atom

=====

(11)
DFT (PBE-GGA) results for crystalline BaCr2Si at its relaxed geometry.

Cell lengths 4.3684, 3.1800, 6.2943 Å; angles 84.33, 90.00, 90.00 degrees
With the nearest neighbours (Å) after each atom.
Positions (direct):
Cr 0.0000 0.0352 0.1339  2 Cr 2.10-2.21
Ba 0.5000 0.7500 0.7500  2 Ba 3.18, 2 Si 3.38, 4 Cr 3.44
Cr 0.0000 0.4648 0.3661  2 Cr 2.10-2.21
Si 0.5000 0.2500 0.2500  4 Cr 2.42

Values from the calculation:
- D(E_F): 4.43 states/eV/cell
- Raw total energy: -24.4 eV per cell
- Total magnetization: 0.000 μB/f.u.
- Space group: No. 10
- Calculated volume: 21.8 Å³ per atom

=====

(12)
DFT (PBE-GGA) results for crystalline BaCr2Si at its relaxed geometry.

Cell lengths 6.3318, 6.3318, 6.3318 Å; angles 39.04, 39.04, 39.04 degrees
With the nearest neighbours (Å) after each atom.
Positions (direct):
Si 0.2500 0.2500 0.2500  6 Cr 2.45
Ba 0.7500 0.7500 0.7500  2 Cr 3.08
Cr 0.9260 0.9260 0.9260  3 Si 2.45, 3 Cr 2.46
Cr 0.5740 0.5740 0.5740  3 Si 2.45, 3 Cr 2.46

Values from the calculation:
- D(E_F): 3.80 states/eV/cell
- Raw total energy: -25.7 eV per cell
- Total magnetization: 2.098 μB/f.u.
- Space group: No. 166
- Calculated volume: 22.6 Å³ per atom

=====

(13)
DFT (PBE-GGA) results for crystalline BaCr2Si at its relaxed geometry.

Cell lengths 3.1859, 3.1859, 7.8341 Å; angles 90.00, 90.00, 90.00 degrees
With the nearest neighbours (Å) after each atom.
Positions (direct):
Ba 0.5000 0.5000 0.7359  4 Ba 3.19, 4 Si 3.34
Cr 0.5000 0.5000 0.2490  4 Cr 2.56, 4 Si 2.62
Cr 0.0000 0.0000 0.0942  4 Cr 2.56, 1 Si 2.56
Si 0.0000 0.0000 0.4209  5 Cr 2.56-2.62

Values from the calculation:
- D(E_F): 2.36 states/eV/cell
- Raw total energy: -25.2 eV per cell
- Total magnetization: 1.072 μB/f.u.
- Space group: No. 99
- Calculated volume: 19.9 Å³ per atom

=====

(14)
DFT (PBE-GGA) results for crystalline BaCrSn3 at its relaxed geometry.

Cell lengths 6.1402, 6.1402, 6.1402 Å; angles 90.00, 90.00, 90.00 degrees
With the nearest neighbours (Å) after each atom.
Positions (direct):
Ba 0.0000 0.0000 0.0000  6 Sn 3.07
Sn 0.5000 0.0000 0.0000  2 Ba 3.07
Sn 0.0000 0.5000 0.0000  2 Ba 3.07
Cr 0.5000 0.5000 0.5000  12 Sn 4.34
Sn 0.0000 0.0000 0.5000  2 Ba 3.07

Values from the calculation:
- D(E_F): 5.02 states/eV/cell
- Total magnetization: 4.458 μB/f.u.
- Space group: No. 221
- Calculated volume: 46.3 Å³ per atom
- Energy of formation from the pure elements: 1.40 eV per atom